Record 1
The following is a DFT calculation (GGA-PBE) of CaYIn2 after structural relaxation.

abc: 5.4486 5.4486 6.3390
angles: 102.31 102.31 40.92
Closest atoms and distances in Å follow each position.
Positions (direct):
Ca1 0.0000 0.0000 0.0000  6 In 3.33-3.35, 4 Y 3.70
Y1 0.5000 0.5000 0.5000  6 In 3.24-3.25
In1 0.2489 0.2489 0.7342  3 Y 3.24-3.25, 3 Ca 3.33-3.35, 2 In 3.53
In2 0.7511 0.7511 0.2658  3 Y 3.24-3.25, 3 Ca 3.33-3.35, 2 In 3.53

Summary:
electronic total energy: -15.2 eV/f.u.
E_form: -0.305 eV per atom
M_tot: 0.000 μB/atom


Record 2
The following is a DFT calculation (GGA-PBE) of ThGa3Pt after structural relaxation.

abc: 12.1998 12.1998 4.1391
angles: 90.00 90.00 160.22
Closest atoms and distances in Å follow each position.
Positions (direct):
Th1 0.1663 0.8337 0.0000  4 Pt 3.16, 10 Ga 3.25-3.45
Th2 0.8337 0.1663 0.0000  4 Pt 3.16, 10 Ga 3.25-3.45
Ga1 0.0524 0.9476 0.5000  1 Ga 2.52, 2 Pt 2.64
Ga2 0.2764 0.7236 0.5000  2 Ga 2.45, 1 Pt 2.51
Ga3 0.4478 0.5522 0.0000  1 Ga 2.51, 2 Pt 2.62
Ga4 0.5522 0.4478 0.0000  1 Ga 2.51, 2 Pt 2.62
Ga5 0.7236 0.2764 0.5000  2 Ga 2.45, 1 Pt 2.51
Ga6 0.9476 0.0524 0.5000  1 Ga 2.52, 2 Pt 2.64
Pt1 0.3808 0.6192 0.5000  5 Ga 2.51-2.64
Pt2 0.6192 0.3808 0.5000  5 Ga 2.51-2.64

Summary:
electronic total energy: -25.9 eV/f.u.
E_form: -0.674 eV per atom
M_tot: 0.000 μB/atom
E above lowest polymorph: 0.1082 eV/atom


Record 3
The following is a DFT calculation (GGA-PBE) of ThVCrSi2 after structural relaxation.

abc: 6.0905 6.0905 6.0905
angles: 141.21 141.21 56.01
Closest atoms and distances in Å follow each position.
Positions (direct):
Th1 0.0000 0.0000 0.0000  8 Si 3.12, 4 Cr 3.36, 4 V 3.36
V1 0.2500 0.7500 0.5000  4 Si 2.48
Cr1 0.7500 0.2500 0.5000  4 Si 2.48
Si1 0.3837 0.3837 0.0000  2 Cr 2.48, 2 V 2.48, 1 Si 2.50
Si2 0.6163 0.6163 0.0000  2 Cr 2.48, 2 V 2.48, 1 Si 2.50

Summary:
formation energy from raw total energies: -0.53 eV per atom
electronic total energy: -39.6 eV/f.u.
M_tot: 0.095 μB/atom


What is the electronic total energy in the third record?
-39.6 eV/f.u.


Copy entry 3 word for word.
The following is a DFT calculation (GGA-PBE) of ThVCrSi2 after structural relaxation.

abc: 6.0905 6.0905 6.0905
angles: 141.21 141.21 56.01
Closest atoms and distances in Å follow each position.
Positions (direct):
Th1 0.0000 0.0000 0.0000  8 Si 3.12, 4 Cr 3.36, 4 V 3.36
V1 0.2500 0.7500 0.5000  4 Si 2.48
Cr1 0.7500 0.2500 0.5000  4 Si 2.48
Si1 0.3837 0.3837 0.0000  2 Cr 2.48, 2 V 2.48, 1 Si 2.50
Si2 0.6163 0.6163 0.0000  2 Cr 2.48, 2 V 2.48, 1 Si 2.50

Summary:
formation energy from raw total energies: -0.53 eV per atom
electronic total energy: -39.6 eV/f.u.
M_tot: 0.095 μB/atom


Which value of electronic total energy does entry 2 give?
-25.9 eV/f.u.